DFT (PBE) results for a relaxed CaFe2CoPd crystal.

extended XYZ file:
```
5
Lattice="4.485 0.000 0.000 0.000 4.340 0.000 0.000 0.000 4.485" Properties=species:S:1:pos:R:3 pbc="T T T"
Ca 0.000 0.000 0.000
Co 0.000 2.170 0.000
Fe 0.000 0.000 2.242
Fe 2.242 0.000 0.000
Pd 2.242 2.170 2.242
```

- calculated formation energy (eV per formula unit) = 9.22
- SG = P4/mmm

---

DFT (PBE) results for a relaxed TlInPt crystal.

extended XYZ file:
```
3
Lattice="6.415 -0.067 0.072 5.542 3.230 0.062 0.873 0.237 3.288" Properties=species:S:1:pos:R:3 pbc="T T T"
In 11.595 3.068 0.237
Pt 4.735 1.257 2.189
Tl 8.456 2.239 1.131
```

- calculated formation energy (eV per formula unit) = -0.30
- SG = I4mm
- distance to the lowest polymorph of the same formula (meV/atom) = 148

---

DFT (PBE) results for a relaxed Pm8Sn6Sb crystal.

extended XYZ file:
```
15
Lattice="9.628 0.000 0.000 4.814 8.338 0.000 4.814 2.779 6.131" Properties=species:S:1:pos:R:3 pbc="T T T"
Pm 8.472 2.233 1.760
Pm 11.930 2.895 4.371
Pm 6.170 4.897 4.371
Pm 14.442 8.338 5.959
Pm 4.814 2.779 0.172
Pm 13.086 6.220 1.760
Pm 7.326 8.222 1.760
Pm 10.784 8.884 4.371
Sn 8.605 2.817 4.870
Sn 11.491 3.302 1.260
Sn 6.742 5.074 1.260
Sn 12.514 6.044 4.870
Sn 7.765 7.816 4.870
Sn 10.651 8.300 1.260
Sb 0.000 0.000 0.000
```

- SG = R-3
- uncorrected formation energy (eV per atom) = -0.66

---

DFT (PBE) results for a relaxed La2EuZn crystal.

extended XYZ file:
```
4
Lattice="5.597 0.000 0.000 2.798 4.847 0.000 2.798 1.616 4.570" Properties=species:S:1:pos:R:3 pbc="T T T"
Eu 0.000 0.000 0.000
Zn 5.597 3.231 2.285
La 2.798 1.616 1.142
La 8.395 4.847 3.427
```

- calculated formation energy (eV per formula unit) = 0.05
- SG = Fm-3m
- distance to the lowest polymorph of the same formula (meV/atom) = 142

---

DFT (PBE) results for a relaxed Sc6OsRh5 crystal.

extended XYZ file:
```
12
Lattice="-1.129 0.058 4.428 0.644 -6.378 0.248 6.047 0.763 3.913" Properties=species:S:1:pos:R:3 pbc="T T T"
Sc 1.541 -4.491 5.176
Sc 1.217 -1.285 5.051
Sc -0.405 -1.549 2.275
Sc -0.079 -4.771 2.401
Sc 4.345 -4.271 3.538
Sc 4.021 -1.066 3.413
Os 0.000 0.000 0.000
Rh 3.592 -2.642 5.683
Rh 1.649 0.275 2.782
Rh 0.322 -3.189 0.124
Rh 3.269 0.547 5.559
Rh 1.970 -2.914 2.906
```

- calculated formation energy (eV per formula unit) = -11.22
- SG = P2/m

---

DFT (PBE) results for a relaxed BaZnI2O crystal.

extended XYZ file:
```
5
Lattice="-2.386 4.563 -3.139 -5.138 -0.548 3.110 1.332 2.516 2.644" Properties=species:S:1:pos:R:3 pbc="T T T"
I -2.569 -0.274 1.555
I -1.193 2.281 -1.569
Zn 0.000 0.000 0.000
Ba -3.096 3.265 1.308
O 0.666 1.258 1.322
```

- SG = P4/mmm
- uncorrected formation energy (eV per atom) = -1.11
- distance to the lowest polymorph of the same formula (meV/atom) = 0

---

Per-record total magnetization, μB per cell: 6.6, 0.0, 0.0, 7.3, 0.0, 0.0